Arrangement a

TiMoSe2: relaxed, GGA-PBE.

Cell: 4.8576 4.8576 7.9951 Å, 72.31 72.31 90.00°
Closest atoms and distances in Å follow each position.
Element x y z (fractional)
Ti1 0.2500 0.7500 0.5000  4 Se 2.50
Ti2 0.5000 0.5000 0.0000  4 Se 2.50
Se1 0.3750 0.3698 0.7500  2 Mo 2.48, 2 Ti 2.50
Se2 0.8750 0.8802 0.7500  2 Mo 2.48, 2 Ti 2.50
Se3 0.6302 0.1250 0.2500  2 Mo 2.48, 2 Ti 2.50
Se4 0.1198 0.6250 0.2500  2 Mo 2.48, 2 Ti 2.50
Mo1 0.0000 0.0000 0.0000  4 Se 2.48
Mo2 0.7500 0.2500 0.5000  4 Se 2.48

SG: No. 122
Size of the total moment: 0.7 μB per formula unit

***

Arrangement b

TiMoSe2: relaxed, GGA-PBE.

Cell: 8.6973 8.6973 8.6973 Å, 21.00 21.00 21.00°
Closest atoms and distances in Å follow each position.
Element x y z (fractional)
Ti1 0.5000 0.5000 0.5000  6 Se 2.54
Mo1 0.0000 0.0000 0.0000  2 Se 2.50
Se1 0.0979 0.0979 0.0979  1 Mo 2.50, 3 Ti 2.54
Se2 0.9021 0.9021 0.9021  1 Mo 2.50, 3 Ti 2.54

SG: No. 166
Size of the total moment: 0.0 μB per formula unit

***

Arrangement c

TiMoSe2: relaxed, GGA-PBE.

Cell: 4.5075 4.5075 4.5075 Å, 60.00 60.00 60.00°
Closest atoms and distances in Å follow each position.
Element x y z (fractional)
Se1 0.7500 0.7500 0.7500  4 Mo 2.76, 4 Ti 2.76
Se2 0.2500 0.2500 0.2500  4 Mo 2.76, 4 Ti 2.76
Mo1 0.5000 0.5000 0.5000  8 Se 2.76
Ti1 0.0000 0.0000 0.0000  8 Se 2.76

SG: No. 225
Size of the total moment: 2.0 μB per formula unit

***

Taking the most stable structure as the zero point, the relative energies in kJ/mol of atoms are arrangement a 23.1; arrangement b 15.8; arrangement c 0.0.

***

Arrangement a

TlMo2Se: relaxed, GGA-PBE.

Cell: 4.6967 4.6967 4.6967 Å, 120.01 120.01 89.97°
Closest atoms and distances in Å follow each position.
Element x y z (fractional)
Se1 0.5000 0.5000 0.0000  4 Tl 2.88, 4 Mo 2.88
Mo1 0.2500 0.7500 0.5000  4 Se 2.88, 4 Mo 2.88
Mo2 0.0000 0.0000 0.0000  4 Mo 2.88, 4 Tl 2.88
Tl1 0.7500 0.2500 0.5000  4 Se 2.88, 4 Mo 2.88

SG: No. 216
Size of the total moment: 0.0 μB per formula unit

***

Arrangement b

TlMo2Se: relaxed, GGA-PBE.

Cell: 3.2517 3.2517 7.8377 Å, 90.00 90.00 90.00°
Closest atoms and distances in Å follow each position.
Element x y z (fractional)
Se1 0.0000 0.0000 0.4117  5 Mo 2.70-2.78
Mo1 0.5000 0.5000 0.2317  4 Mo 2.67, 4 Se 2.70
Mo2 0.0000 0.0000 0.0573  4 Mo 2.67, 1 Se 2.78
Tl1 0.5000 0.5000 0.7994  5 Mo 3.06-3.39, 4 Tl 3.25

SG: No. 99
Size of the total moment: 0.0 μB per formula unit

***

Taking the most stable structure as the zero point, the relative energies in kJ/mol of atoms are arrangement a 53.7; arrangement b 0.0.

***

Arrangement a

TlMo2Se: relaxed, GGA-PBE.

Cell: 5.3110 5.1594 3.2599 Å, 82.42 75.95 116.44°
Closest atoms and distances in Å follow each position.
Element x y z (fractional)
Se1 0.5000 0.5000 0.0000  4 Mo 2.76, 2 Tl 2.86
Tl1 0.5000 0.0000 0.5000  4 Mo 2.76, 2 Se 2.86
Mo1 0.0000 0.5000 0.5000  2 Tl 2.76, 2 Se 2.76, 2 Mo 2.86
Mo2 0.0000 0.0000 0.0000  2 Se 2.76, 2 Tl 2.76, 2 Mo 2.86

SG: No. 12
Size of the total moment: 0.0 μB per formula unit

***

Arrangement b

TlMo2Se: relaxed, GGA-PBE.

Cell: 3.1336 3.1336 8.8754 Å, 90.00 90.00 120.92°
Closest atoms and distances in Å follow each position.
Element x y z (fractional)
Tl1 0.5000 0.5000 0.7500  4 Mo 2.91, 6 Tl 3.09-3.13
Se1 0.5000 0.5000 0.2500  4 Mo 2.50
Mo1 0.0000 0.0000 0.0282  2 Se 2.50
Mo2 0.0000 0.0000 0.4718  2 Se 2.50

SG: No. 65
Size of the total moment: 0.0 μB per formula unit

***

Taking the most stable structure as the zero point, the relative energies in kJ/mol of atoms are arrangement a 14.1; arrangement b 0.0.

***

Arrangement a

TlMoSe4: relaxed, GGA-PBE.

Cell: 5.8676 5.8676 5.8676 Å, 60.00 60.00 60.00°
Closest atoms and distances in Å follow each position.
Element x y z (fractional)
Se1 0.3741 0.8776 0.3741  6 Se 2.91-2.95
Se2 0.3741 0.3741 0.3741  6 Se 2.91-2.95
Se3 0.3741 0.3741 0.8776  6 Se 2.91-2.95
Se4 0.8776 0.3741 0.3741  6 Se 2.91-2.95
Tl1 0.7500 0.7500 0.7500  12 Se 3.44, 4 Mo 3.59
Mo1 0.0000 0.0000 0.0000  12 Se 3.44, 4 Tl 3.59

SG: No. 216
Size of the total moment: 4.7 μB per formula unit

***

Arrangement b

TlMoSe4: relaxed, GGA-PBE.

Cell: 6.3870 7.7567 8.3909 Å, 119.25 103.07 101.96°
Closest atoms and distances in Å follow each position.
Element x y z (fractional)
Mo1 0.2858 0.0009 0.0000  8 Se 2.59-2.70, 1 Mo 2.74
Mo2 0.7142 0.9991 0.0000  8 Se 2.59-2.70, 1 Mo 2.74
Se1 0.1246 0.3169 0.1564  1 Se 2.38
Se2 0.4422 0.7364 0.0400  2 Mo 2.59-2.60
Se3 0.5577 0.2636 0.9600  2 Mo 2.59-2.60
Se4 0.8754 0.6831 0.8436  1 Se 2.38
Se5 0.3492 0.7859 0.6711  2 Mo 2.61-2.62
Se6 0.0378 0.9235 0.1938  1 Se 2.38
Se7 0.6507 0.2141 0.3289  2 Mo 2.61-2.62
Se8 0.9622 0.0765 0.8063  1 Se 2.38
Tl1 0.2509 0.3579 0.6315  3 Se 2.94-3.23
Tl2 0.7491 0.6421 0.3685  3 Se 2.94-3.23

SG: No. 2
Size of the total moment: 0.0 μB per formula unit

***

Taking the most stable structure as the zero point, the relative energies in kJ/mol of atoms are arrangement a 108.3; arrangement b 0.0.